An optimized crystal structure of Nb2CrO. Source: the Alexandria database, functional PBE with a Hubbard U.

```
Nb2CrO
1.0
7.4593 0.0000 0.0000
0.0000 7.4593 0.0000
3.7297 3.7297 2.1145
O Cr Nb
2 2 4
Cartesian
3.7297 3.7297 0.0000
3.7297 7.4593 1.0573
7.4593 3.7297 1.0573
0.0000 0.0000 0.0000
4.6266 1.8648 0.5286
5.5945 6.5623 1.5859
9.3241 8.3563 1.5859
2.8327 5.5945 0.5286
```

Properties
The value obtained for the electronic total energy is -8.063 eV per atom. The calculation puts the density of states at the Fermi level at 1.51 states/eV/f.u.